Cd2Sb2As (PBE, optimized geometry); space-group type = P4/mbm; D(E_F) = 4.6 states/eV per cell; raw formation energy = 0.28 eV per atom; total DFT energy (no corrections) = -2.661 eV/atom
1.0
7.528 0.000 0.000
0.000 7.528 0.000
0.000 0.000 4.655
Cd Sb As
4 4 2
Direct
0.843 0.657 0.000 Cd
0.157 0.343 0.000 Cd
0.343 0.843 0.000 Cd
0.657 0.157 0.000 Cd
0.137 0.637 0.500 Sb
0.363 0.137 0.500 Sb
0.863 0.363 0.500 Sb
0.637 0.863 0.500 Sb
0.000 0.000 0.000 As
0.500 0.500 0.000 As